1.
# K12RbNa5, optimized geometry, DFT PBE-GGA
data_K12RbNa5
_cell_length_a 8.016
_cell_length_b 8.016
_cell_length_c 21.327
_cell_angle_alpha 92.18
_cell_angle_beta 92.18
_cell_angle_gamma 124.04
_space_group_name_H-M_alt 'P 1'
_space_group_IT_number 1
loop_
_space_group_symop_operation_xyz
'x,y,z'
loop_
_atom_site_label
_atom_site_fract_x
_atom_site_fract_y
_atom_site_fract_z
K1 0.002 0.649 0.833
K2 0.086 0.086 0.337
K3 0.244 0.580 0.645
K4 0.350 0.350 0.837
K5 0.351 0.998 0.167
K6 0.420 0.756 0.355
K7 0.580 0.244 0.645
K8 0.649 0.002 0.833
K9 0.650 0.650 0.163
K10 0.756 0.420 0.355
K11 0.914 0.914 0.663
K12 0.998 0.351 0.167
Rb1 0.000 0.000 0.000
Na1 0.140 0.860 0.500
Na2 0.320 0.680 0.000
Na3 0.500 0.500 0.500
Na4 0.680 0.320 0.000
Na5 0.860 0.140 0.500
# Magnetic moment = 0.0 μB per cell
# Formation energy = 3.41 kJ per mole of atoms
# Density = 0.98 Mg/m³

***

2.
# K5Rb4Na2, optimized geometry, DFT PBE-GGA
data_K5Rb4Na2
_cell_length_a 11.792
_cell_length_b 27.250
_cell_length_c 4.910
_cell_angle_alpha 90.00
_cell_angle_beta 90.00
_cell_angle_gamma 90.00
_space_group_name_H-M_alt 'P 1'
_space_group_IT_number 1
loop_
_space_group_symop_operation_xyz
'x,y,z'
loop_
_atom_site_label
_atom_site_fract_x
_atom_site_fract_y
_atom_site_fract_z
K1 0.000 0.000 0.000
K2 0.142 0.418 0.000
K3 0.237 0.720 0.000
K4 0.263 0.220 0.000
K5 0.358 0.918 0.000
K6 0.500 0.500 0.000
K7 0.642 0.082 0.000
K8 0.737 0.780 0.000
K9 0.763 0.280 0.000
K10 0.858 0.582 0.000
Rb1 0.060 0.848 0.500
Rb2 0.191 0.568 0.500
Rb3 0.309 0.068 0.500
Rb4 0.440 0.348 0.500
Rb5 0.560 0.652 0.500
Rb6 0.691 0.932 0.500
Rb7 0.809 0.432 0.500
Rb8 0.940 0.152 0.500
Na1 0.051 0.304 0.500
Na2 0.449 0.804 0.500
Na3 0.551 0.196 0.500
Na4 0.949 0.696 0.500
# Magnetic moment = 0.0 μB per cell
# Formation energy = 1.52 kJ per mole of atoms
# Offset from the most stable computed form = 0.000 eV/atom
# Density = 1.23 Mg/m³